Entry 1:
A plane-wave DFT calculation with GGA-PBE was carried out for a relaxed structure of Cs6K2Na.

Summary:
Mass density in Mg/m³: 1.7
Raw total energy in eV per cell: -16.7
Formation enthalpy at 0 K in eV/atom: 0.031
Crystal system: monoclinic

Cell: 12.7050 25.5806 5.4129 Å, 90.00 101.25 90.00°
With the nearest neighbours (Å) after each atom.
Space group C2/m (No. 12)
Unique sites:
Cs (0.1734, 0.1717, 0.3071) [8 per cell]  5 Cs 4.76-5.23, 2 K 4.87-5.12
Cs (0.1945, 0.0000, 0.8334) [4 per cell]  2 Na 4.59-4.76, 2 K 5.09, 2 Cs 5.12
K (0.0000, 0.3680, 0.0000) [4 per cell]  2 Na 4.33
Na (0.0000, 0.5000, 0.5000) [2 per cell]  4 K 4.33, 4 Cs 4.59-4.76

=====

Entry 2:
A plane-wave DFT calculation with GGA-PBE was carried out for a relaxed structure of CsKNa17.

Summary:
Mass density in Mg/m³: 1.1
Raw total energy in eV per cell: -72.0
Formation enthalpy at 0 K in eV/atom: 0.021
Crystal system: trigonal

Cell: 12.4502 12.4502 18.2912 Å, 90.00 90.00 120.00°
With the nearest neighbours (Å) after each atom.
Space group R3m (No. 160, hexagonal axes)
Unique sites:
Cs (0.0000, 0.0000, 0.0000) [3 per cell]  19 Na 4.44-4.83
K (0.0000, 0.0000, 0.3173) [3 per cell]  19 Na 4.39-4.91
Na (0.0000, 0.0000, 0.5586) [3 per cell]  7 Na 3.53-3.82
Na (0.0000, 0.0000, 0.7515) [3 per cell]  7 Na 3.53-3.95
Na (0.0406, 0.3710, 0.3222) [18 per cell]  8 Na 3.57-3.85
Na (0.1671, 0.3342, 0.4894) [9 per cell]  10 Na 3.56-3.82
Na (0.1678, 0.3357, 0.8378) [9 per cell]  9 Na 3.61-3.95
Na (0.1713, 0.3425, 0.1403) [9 per cell]  9 Na 3.56-3.82

=====

Entry 3:
A plane-wave DFT calculation with GGA-PBE was carried out for a relaxed structure of Cs2K12Na5.

Summary:
Mass density in Mg/m³: 1.1
Raw total energy in eV per cell: -62.6
Formation enthalpy at 0 K in eV/atom: 0.032
Crystal system: trigonal

Cell: 14.4585 14.4585 21.5813 Å, 90.00 90.00 120.00°
With the nearest neighbours (Å) after each atom.
Space group R-3m (No. 166, hexagonal axes)
Unique sites:
Cs (0.0000, 0.0000, 0.1559) [6 per cell]  12 K 5.07-5.40, 4 Na 5.47-5.66
K (0.0000, 0.2860, 0.5000) [18 per cell]  6 K 4.14-4.56, 4 Na 4.19-4.57
K (0.0306, 0.5153, 0.3546) [18 per cell]  3 Na 4.02-4.33, 2 K 4.42
Na (0.0000, 0.0000, 0.4093) [6 per cell]  1 Na 3.91, 3 K 4.33
Na (0.0000, 0.5000, 0.0000) [9 per cell]  8 K 4.02-4.19, 2 Na 4.48

=====

Entry 4:
A plane-wave DFT calculation with GGA-PBE was carried out for a relaxed structure of Cs2K2Na.

Summary:
Mass density in Mg/m³: 1.4
Raw total energy in eV per cell: -9.6
Formation enthalpy at 0 K in eV/atom: 0.081
Relative energy among the computed polymorphs in meV/atom: 67
Crystal system: tetragonal

Cell: 5.7471 5.7471 26.3664 Å, 90.00 90.00 90.00°
With the nearest neighbours (Å) after each atom.
Space group I4/mmm (No. 139)
Unique sites:
Cs (0.0000, 0.0000, 0.0915) [4 per cell]  4 Na 4.73, 1 Cs 4.83, 4 K 5.07
K (0.0000, 0.5000, 0.2500) [4 per cell]  4 K 4.06
Na (0.0000, 0.0000, 0.5000) [2 per cell]  8 Cs 4.73

=====

Entry 5:
A plane-wave DFT calculation with GGA-PBE was carried out for a relaxed structure of CsK3Na3.

Summary:
Mass density in Mg/m³: 1.0
Raw total energy in eV per cell: -13.5
Formation enthalpy at 0 K in eV/atom: 0.193
Relative energy among the computed polymorphs in meV/atom: 152
Crystal system: cubic

Cell: 10.3639 10.3639 10.3639 Å, 90.00 90.00 90.00°
With the nearest neighbours (Å) after each atom.
Space group Pm-3n (No. 223)
Unique sites:
Cs (0.0000, 0.0000, 0.0000) [2 per cell]  12 K 5.79, 12 Na 5.79
K (0.0000, 0.2500, 0.5000) [6 per cell]  4 Na 3.66
Na (0.0000, 0.5000, 0.2500) [6 per cell]  4 K 3.66

=====

Entry 6:
A plane-wave DFT calculation with GGA-PBE was carried out for a relaxed structure of CsK4Na3.

Summary:
Mass density in Mg/m³: 1.2
Raw total energy in eV per cell: -17.9
Formation enthalpy at 0 K in eV/atom: 0.034
Relative energy among the computed polymorphs in meV/atom: 5
Crystal system: orthorhombic

Cell: 7.0397 14.0799 9.9790 Å, 90.00 90.00 90.00°
With the nearest neighbours (Å) after each atom.
Space group Pmmn (No. 59, origin choice 2)
Unique sites:
Cs (0.2500, 0.2500, 0.0874) [2 per cell]  4 Na 4.10-4.28, 5 K 4.46-4.54
K (0.2500, 0.2500, 0.6410) [2 per cell]  4 Na 4.24-4.66, 1 Cs 4.46, 2 K 4.47
K (0.2500, 0.5156, 0.3447) [4 per cell]  4 Na 3.97-4.41, 1 K 4.39
K (0.2500, 0.7500, 0.6352) [2 per cell]  2 Na 4.15, 4 K 4.39-4.47, 2 Cs 4.48
Na (0.2500, 0.5245, 0.9027) [4 per cell]  3 Na 3.86-4.08, 1 K 4.15, 1 Cs 4.28
Na (0.2500, 0.7500, 0.1227) [2 per cell]  2 Na 3.86, 4 K 3.97-4.24, 2 Cs 4.10

=====

Entry 7:
A plane-wave DFT calculation with GGA-PBE was carried out for a relaxed structure of CsK3Na.

Summary:
Mass density in Mg/m³: 0.9
Raw total energy in eV per cell: -3.6
Formation enthalpy at 0 K in eV/atom: 0.374
Relative energy among the computed polymorphs in meV/atom: 356
Crystal system: cubic

Cell: 7.9441 7.9441 7.9441 Å, 90.00 90.00 90.00°
With the nearest neighbours (Å) after each atom.
Space group Pm-3m (No. 221)
Unique sites:
Cs (0.0000, 0.0000, 0.0000) [1 per cell]  6 K 3.97
K (0.0000, 0.0000, 0.5000) [3 per cell]  2 Cs 3.97
Na (0.5000, 0.5000, 0.5000) [1 per cell]  12 K 5.62

=====

Entry 8:
A plane-wave DFT calculation with GGA-PBE was carried out for a relaxed structure of Cs3KNa4.

Summary:
Mass density in Mg/m³: 1.6
Raw total energy in eV per cell: -17.2
Formation enthalpy at 0 K in eV/atom: 0.043
Crystal system: orthorhombic

Cell: 8.0243 10.2132 13.2696 Å, 90.00 90.00 90.00°
With the nearest neighbours (Å) after each atom.
Space group Imm2 (No. 44)
Unique sites:
Cs (0.0000, 0.0000, 0.0000) [2 per cell]  6 Na 4.81-4.93, 2 K 5.18, 6 Cs 5.22-5.23
Cs (0.0000, 0.2367, 0.6511) [4 per cell]  5 Na 4.29-4.73
K (0.0000, 0.5000, 0.0664) [2 per cell]  4 Na 3.79-4.00
Na (0.0000, 0.3207, 0.3342) [4 per cell]  3 Na 3.66-3.70, 1 K 4.00
Na (0.2135, 0.0000, 0.3391) [4 per cell]  3 Na 3.43-3.70, 1 K 3.79

=====

Calculated values (μB per cell) of total magnetic moment for the records, taken in order: 0.0, 0.0, 0.0, 0.0, 0.0, 0.0, 0.0, 0.0.